# 1
Mg3Cd5Ag: optimized geometry, GGA-PBE.

Cell: 8.7291 8.7291 8.3468 Å, 121.53 121.53 90.00°
Atoms (fractional coordinates):
Cd 0.0000 0.0000 0.0000
Cd 0.9374 0.4374 0.2692
Cd 0.5626 0.6682 0.7308
Cd 0.5000 0.5000 0.0000
Cd 0.0626 0.5626 0.7308
Cd 0.6682 0.1682 0.7308
Cd 0.3318 0.8318 0.2692
Cd 0.1682 0.0626 0.7308
Cd 0.8318 0.9374 0.2692
Cd 0.4374 0.3318 0.2692
Ag 0.7500 0.2500 0.5000
Ag 0.2500 0.7500 0.5000
Mg 0.3881 0.8882 0.0000
Mg 0.8881 0.6119 0.0000
Mg 0.6119 0.1119 0.0000
Mg 0.2500 0.2500 0.5000
Mg 0.7500 0.7500 0.5000
Mg 0.1119 0.3881 0.0000

Properties
Spin magnetization, Bohr magnetons per cell: 0.00
Energy of formation, eV per atom: 0.065

# 2
Mg2Cd2Ag: optimized geometry, GGA-PBE.

Cell: 8.5260 8.5260 3.0066 Å, 90.00 90.00 90.00°
Atoms (fractional coordinates):
Cd 0.6741 0.8259 0.5000
Cd 0.1741 0.6741 0.5000
Cd 0.3259 0.1741 0.5000
Cd 0.8259 0.3259 0.5000
Mg 0.8737 0.6263 0.0000
Mg 0.3737 0.8737 0.0000
Mg 0.6263 0.1263 0.0000
Mg 0.1263 0.3737 0.0000
Ag 0.0000 0.0000 0.0000
Ag 0.5000 0.5000 0.0000

Properties
Spin magnetization, Bohr magnetons per cell: 0.00
Energy of formation, eV per atom: 0.063

# 3
Mg4CdAg: optimized geometry, GGA-PBE.

Cell: 5.7038 5.7038 5.7038 Å, 60.00 60.00 60.00°
Atoms (fractional coordinates):
Mg 0.3751 0.3751 0.8746
Mg 0.3751 0.3751 0.3751
Mg 0.8746 0.3751 0.3751
Mg 0.3751 0.8746 0.3751
Ag 0.7500 0.7500 0.7500
Cd 0.0000 0.0000 0.0000

Properties
Spin magnetization, Bohr magnetons per cell: 0.00
Energy of formation, eV per atom: 0.103

# 4
MgCd7Ag4: optimized geometry, GGA-PBE.

Cell: 5.1290 8.7482 6.8274 Å, 81.32 67.94 72.95°
Atoms (fractional coordinates):
Cd 0.0691 0.6530 0.2087
Cd 0.6510 0.4198 0.2783
Cd 0.3490 0.5802 0.7217
Cd 0.7837 0.8767 0.5559
Cd 0.9309 0.3470 0.7913
Cd 0.5000 0.0000 0.0000
Cd 0.2163 0.1233 0.4441
Ag 0.7013 0.6650 0.9324
Ag 0.2987 0.3350 0.0676
Ag 0.4279 0.7837 0.3605
Ag 0.5721 0.2163 0.6395
Mg 0.0000 0.0000 0.0000

Properties
Spin magnetization, Bohr magnetons per cell: 0.00
Energy of formation, eV per atom: 0.084

# 5
Mg3CdAg6: optimized geometry, GGA-PBE.

Cell: 4.8057 7.9602 10.1863 Å, 108.48 90.00 90.00°
Atoms (fractional coordinates):
Ag 0.2500 0.8530 0.2821
Ag 0.7500 0.9432 0.1139
Ag 0.7500 0.8392 0.8154
Ag 0.7500 0.3493 0.3129
Ag 0.2500 0.4624 0.0864
Ag 0.7500 0.7367 0.5097
Ag 0.2500 0.0568 0.8861
Ag 0.7500 0.5376 0.9136
Ag 0.2500 0.1608 0.1846
Ag 0.2500 0.2633 0.4903
Ag 0.7500 0.1470 0.7179
Ag 0.2500 0.6507 0.6871
Mg 0.2500 0.5503 0.3856
Mg 0.7500 0.2365 0.0121
Mg 0.2500 0.3549 0.7915
Mg 0.7500 0.6451 0.2085
Mg 0.2500 0.7635 0.9879
Mg 0.7500 0.4497 0.6144
Cd 0.2500 0.9536 0.5884
Cd 0.7500 0.0464 0.4116

Properties
Spin magnetization, Bohr magnetons per cell: 0.00
Energy of formation, eV per atom: -0.158

# 6
Mg4Cd4Ag3: optimized geometry, GGA-PBE.

Cell: 3.1014 4.6842 15.9437 Å, 81.44 79.68 89.81°
Atoms (fractional coordinates):
Mg 0.0988 0.1745 0.6589
Mg 0.8770 0.5534 0.8943
Mg 0.9361 0.8238 0.3472
Mg 0.1942 0.4550 0.0853
Cd 0.4330 0.0848 0.8336
Cd 0.3120 0.2720 0.4573
Cd 0.6073 0.9083 0.1759
Cd 0.7294 0.7298 0.5468
Ag 0.7806 0.0010 0.9980
Ag 0.5326 0.6384 0.7282
Ag 0.4992 0.3591 0.2747

Properties
Spin magnetization, Bohr magnetons per cell: 0.00
Energy of formation, eV per atom: -0.111

# 7
Mg6CdAg2: optimized geometry, GGA-PBE.

Cell: 7.9940 7.9940 7.9940 Å, 102.32 112.20 114.13°
Atoms (fractional coordinates):
Mg 0.1949 0.9445 0.7496
Mg 0.2905 0.3357 0.6262
Mg 0.8051 0.5547 0.7496
Mg 0.7095 0.6643 0.3738
Mg 0.4818 0.1899 0.2919
Mg 0.8981 0.1899 0.7081
Mg 0.8051 0.0555 0.2504
Mg 0.7095 0.3357 0.0452
Mg 0.2905 0.6643 0.9548
Mg 0.1019 0.8101 0.2919
Mg 0.5182 0.8101 0.7081
Mg 0.1949 0.4453 0.2504
Ag 0.5000 0.8602 0.3602
Ag 0.5000 0.1398 0.6398
Ag 0.6680 0.6680 0.0000
Ag 0.3320 0.3320 0.0000
Cd 0.0000 0.0000 0.0000
Cd 0.0000 0.5000 0.5000

Properties
Spin magnetization, Bohr magnetons per cell: 0.00
Energy of formation, eV per atom: -0.122

# 8
MgCd6Ag3: optimized geometry, GGA-PBE.

Cell: 7.9281 5.6336 5.6336 Å, 63.97 74.17 74.17°
Atoms (fractional coordinates):
Cd 0.0669 0.6531 0.6531
Cd 0.3003 0.0774 0.5754
Cd 0.6997 0.9226 0.4246
Cd 0.3003 0.5754 0.0774
Cd 0.6997 0.4246 0.9226
Cd 0.9331 0.3469 0.3469
Ag 0.6848 0.9241 0.9241
Ag 0.3152 0.0759 0.0759
Ag 0.0000 0.0000 0.0000
Mg 0.5000 0.5000 0.5000

Properties
Spin magnetization, Bohr magnetons per cell: 0.00
Energy of formation, eV per atom: 0.009

# 9
MgCd3Ag2: optimized geometry, GGA-PBE.

Cell: 3.0596 8.6850 9.9824 Å, 107.21 98.82 90.00°
Atoms (fractional coordinates):
Cd 0.6927 0.7118 0.3854
Cd 0.9335 0.2064 0.8669
Cd 0.3073 0.2882 0.6146
Cd 0.0665 0.7936 0.1331
Cd 0.4400 0.5723 0.8800
Cd 0.5600 0.4277 0.1200
Mg 0.3169 0.9527 0.6339
Mg 0.6831 0.0473 0.3661
Ag 0.0744 0.1375 0.1488
Ag 0.6956 0.3759 0.3913
Ag 0.9256 0.8625 0.8512
Ag 0.3044 0.6241 0.6087

Properties
Spin magnetization, Bohr magnetons per cell: 0.00
Energy of formation, eV per atom: -0.018

# 10
Mg2Cd9Ag: optimized geometry, GGA-PBE.

Cell: 4.4128 4.4128 13.3209 Å, 90.00 90.00 90.00°
Atoms (fractional coordinates):
Cd 0.0000 0.5000 0.1634
Cd 0.0000 0.5000 0.8366
Cd 0.5000 0.0000 0.1634
Cd 0.5000 0.0000 0.5000
Cd 0.0000 0.5000 0.5000
Cd 0.5000 0.5000 0.3299
Cd 0.5000 0.0000 0.8366
Cd 0.5000 0.5000 0.6701
Cd 0.5000 0.5000 0.0000
Ag 0.0000 0.0000 0.0000
Mg 0.0000 0.0000 0.3322
Mg 0.0000 0.0000 0.6678

Properties
Spin magnetization, Bohr magnetons per cell: 0.00
Energy of formation, eV per atom: -0.033

# 11
Mg5CdAg3: optimized geometry, GGA-PBE.

Cell: 5.8113 8.3908 8.3903 Å, 120.00 90.00 90.00°
Atoms (fractional coordinates):
Ag 0.7500 0.0000 0.6519
Ag 0.7500 0.3481 0.3481
Ag 0.2500 0.3481 0.0000
Ag 0.7500 0.6519 0.0000
Ag 0.2500 0.0000 0.3481
Ag 0.2500 0.6519 0.6519
Mg 0.5000 0.3333 0.6667
Mg 0.7500 0.6774 0.6774
Mg 0.2500 0.0000 0.6774
Mg 0.0000 0.3333 0.6667
Mg 0.7500 0.0000 0.3226
Mg 0.5000 0.6667 0.3333
Mg 0.7500 0.3226 0.0000
Mg 0.0000 0.6667 0.3333
Mg 0.2500 0.6774 0.0000
Mg 0.2500 0.3226 0.3226
Cd 0.5000 0.0000 0.0000
Cd 0.0000 0.0000 0.0000

Properties
Spin magnetization, Bohr magnetons per cell: 0.00
Energy of formation, eV per atom: -0.152

# 12
MgCd6Ag: optimized geometry, GGA-PBE.

Cell: 7.5447 8.3341 5.6244 Å, 41.97 47.84 56.31°
Atoms (fractional coordinates):
Cd 0.7508 0.9634 0.7416
Cd 0.5450 0.7506 0.6665
Cd 0.4550 0.2494 0.3335
Cd 0.9643 0.4582 0.8271
Cd 0.2492 0.0366 0.2584
Cd 0.0357 0.5418 0.1729
Ag 0.0000 0.0000 0.0000
Mg 0.5000 0.5000 0.5000

Properties
Spin magnetization, Bohr magnetons per cell: 0.00
Energy of formation, eV per atom: -0.009